No. 1
Crystalline HgBr3 at its relaxed geometry. Source: Alexandria, functional PBE.

Geometry as POSCAR:
```
HgBr3
1.0
7.429 0.000 0.000
0.000 8.720 0.000
0.000 0.000 3.982
Hg Br
2 6
Direct
0.000 0.000 0.000
0.500 0.500 0.000
0.000 0.212 0.500
0.000 0.500 0.000
0.000 0.788 0.500
0.500 0.000 0.000
0.500 0.288 0.500
0.500 0.712 0.500
```

Values from the calculation:
As for the total moment: 0.000 Bohr magnetons per cell. The calculation puts the energy relative to the elements, uncorrected at -0.09 eV/atom. Its crystal system is orthorhombic.

No. 2
Crystalline Hg2Br at its relaxed geometry. Source: Alexandria, functional PBE.

Geometry as POSCAR:
```
Hg2Br
1.0
5.654 0.000 0.000
1.560 6.279 0.000
2.677 2.159 5.648
Hg Br
4 2
Direct
0.186 0.274 0.090
0.283 0.888 0.618
0.717 0.112 0.382
0.814 0.726 0.910
0.338 0.648 0.237
0.662 0.352 0.763
```

Values from the calculation:
As for the total moment: 0.000 Bohr magnetons per cell. The value obtained for the energy above the most stable polymorph in this dataset is 0.0011 eV per atom. The calculation puts the energy relative to the elements, uncorrected at -0.24 eV/atom. Its crystal system is triclinic.

No. 3
Crystalline Hg3Br at its relaxed geometry. Source: Alexandria, functional PBE.

Geometry as POSCAR:
```
Hg3Br
1.0
5.745 0.000 0.000
0.000 14.595 0.000
0.000 0.000 6.033
Hg Br
12 4
Direct
0.000 0.182 0.250
0.000 0.818 0.750
0.249 0.440 0.250
0.249 0.560 0.750
0.251 0.060 0.750
0.251 0.940 0.250
0.500 0.318 0.750
0.500 0.682 0.250
0.749 0.060 0.750
0.749 0.940 0.250
0.751 0.440 0.250
0.751 0.560 0.750
0.000 0.312 0.750
0.000 0.688 0.250
0.500 0.188 0.250
0.500 0.812 0.750
```

Values from the calculation:
As for the total moment: 0.000 Bohr magnetons per cell. The value obtained for the energy above the most stable polymorph in this dataset is 0.0427 eV per atom. The calculation puts the energy relative to the elements, uncorrected at -0.11 eV/atom. Its crystal system is orthorhombic.

No. 4
Crystalline HgBr at its relaxed geometry. Source: Alexandria, functional PBE.

Geometry as POSCAR:
```
HgBr
1.0
6.892 0.000 0.000
0.000 6.892 0.000
0.000 0.000 6.892
Hg Br
4 4
Direct
0.000 0.000 0.000
0.000 0.500 0.500
0.500 0.000 0.500
0.500 0.500 0.000
0.250 0.250 0.250
0.250 0.750 0.750
0.750 0.250 0.750
0.750 0.750 0.250
```

Values from the calculation:
As for the total moment: 0.000 Bohr magnetons per cell. The value obtained for the energy above the most stable polymorph in this dataset is 0.3151 eV per atom. The calculation puts the energy relative to the elements, uncorrected at -0.09 eV/atom. Its crystal system is cubic.

No. 5
Crystalline HgBr4 at its relaxed geometry. Source: Alexandria, functional PBE.

Geometry as POSCAR:
```
HgBr4
1.0
6.850 0.000 0.000
0.000 6.850 0.000
0.000 0.000 6.850
Hg Br
2 8
Direct
0.000 0.000 0.000
0.500 0.500 0.500
0.250 0.250 0.250
0.250 0.250 0.750
0.250 0.750 0.250
0.250 0.750 0.750
0.750 0.250 0.250
0.750 0.250 0.750
0.750 0.750 0.250
0.750 0.750 0.750
```

Values from the calculation:
As for the total moment: 0.008 Bohr magnetons per cell. The value obtained for the energy above the most stable polymorph in this dataset is 0.0193 eV per atom. The calculation puts the energy relative to the elements, uncorrected at 0.20 eV/atom. Its crystal system is cubic.

No. 6
Crystalline Hg3Br at its relaxed geometry. Source: Alexandria, functional PBE.

Geometry as POSCAR:
```
Hg3Br
1.0
3.881 0.000 0.000
0.000 3.882 0.000
0.000 0.000 7.948
Hg Br
3 1
Direct
0.000 0.000 0.000
0.000 0.500 0.284
0.500 0.500 0.803
0.500 0.000 0.492
```

Values from the calculation:
As for the total moment: 0.000 Bohr magnetons per cell. The value obtained for the energy above the most stable polymorph in this dataset is 0.0468 eV per atom. The calculation puts the energy relative to the elements, uncorrected at -0.10 eV/atom. Its crystal system is orthorhombic.

No. 7
Crystalline HgBr5 at its relaxed geometry. Source: Alexandria, functional PBE.

Geometry as POSCAR:
```
HgBr5
1.0
3.964 0.000 0.000
0.000 12.914 0.000
0.000 0.000 8.542
Hg Br
2 10
Direct
0.000 0.000 0.000
0.500 0.500 0.000
0.000 0.167 0.500
0.000 0.357 0.000
0.000 0.500 0.500
0.000 0.643 0.000
0.000 0.833 0.500
0.500 0.000 0.500
0.500 0.143 0.000
0.500 0.333 0.500
0.500 0.667 0.500
0.500 0.857 0.000
```

Values from the calculation:
As for the total moment: 0.000 Bohr magnetons per cell. The value obtained for the energy above the most stable polymorph in this dataset is 0.0239 eV per atom. The calculation puts the energy relative to the elements, uncorrected at -0.04 eV/atom. Its crystal system is orthorhombic.

No. 8
Crystalline Hg3Br5 at its relaxed geometry. Source: Alexandria, functional PBE.

Geometry as POSCAR:
```
Hg3Br5
1.0
8.089 0.000 0.000
-4.044 7.005 0.000
0.000 0.000 8.613
Hg Br
6 10
Direct
0.000 0.408 0.250
0.000 0.592 0.750
0.408 0.000 0.250
0.408 0.408 0.750
0.592 0.000 0.750
0.592 0.592 0.250
0.000 0.253 0.750
0.000 0.747 0.250
0.253 0.000 0.750
0.253 0.253 0.250
0.333 0.667 0.000
0.333 0.667 0.500
0.667 0.333 0.000
0.667 0.333 0.500
0.747 0.000 0.250
0.747 0.747 0.750
```

Values from the calculation:
As for the total moment: 0.000 Bohr magnetons per cell. The calculation puts the energy relative to the elements, uncorrected at -0.22 eV/atom. Its crystal system is hexagonal.

No. 9
Crystalline HgBr3 at its relaxed geometry. Source: Alexandria, functional PBE.

Geometry as POSCAR:
```
HgBr3
1.0
8.310 0.000 0.000
0.000 8.310 0.000
0.000 0.000 7.543
Hg Br
4 12
Direct
0.000 0.000 0.000
0.000 0.500 0.250
0.500 0.000 0.750
0.500 0.500 0.500
0.000 0.000 0.500
0.000 0.500 0.750
0.178 0.250 0.125
0.250 0.678 0.375
0.250 0.822 0.875
0.322 0.250 0.625
0.500 0.000 0.250
0.500 0.500 0.000
0.678 0.750 0.625
0.750 0.178 0.875
0.750 0.322 0.375
0.822 0.750 0.125
```

Values from the calculation:
As for the total moment: 4.000 Bohr magnetons per cell. The calculation puts the energy relative to the elements, uncorrected at -0.02 eV/atom. Its crystal system is tetragonal.

No. 10
Crystalline Hg3Br at its relaxed geometry. Source: Alexandria, functional PBE.

Geometry as POSCAR:
```
Hg3Br
1.0
4.827 0.000 0.000
0.000 4.827 0.000
0.000 0.000 4.827
Hg Br
3 1
Direct
0.000 0.000 0.500
0.000 0.500 0.000
0.500 0.000 0.000
0.500 0.500 0.500
```

Values from the calculation:
As for the total moment: 0.000 Bohr magnetons per cell. The value obtained for the energy above the most stable polymorph in this dataset is 0.1672 eV per atom. The calculation puts the energy relative to the elements, uncorrected at 0.02 eV/atom. Its crystal system is cubic.

No. 11
Crystalline HgBr3 at its relaxed geometry. Source: Alexandria, functional PBE.

Geometry as POSCAR:
```
HgBr3
1.0
5.967 0.000 0.000
0.000 5.967 0.000
0.000 0.000 5.967
Hg Br
2 6
Direct
0.000 0.000 0.000
0.500 0.500 0.500
0.000 0.250 0.500
0.000 0.750 0.500
0.250 0.500 0.000
0.500 0.000 0.250
0.500 0.000 0.750
0.750 0.500 0.000
```

Values from the calculation:
As for the total moment: 0.000 Bohr magnetons per cell. The calculation puts the energy relative to the elements, uncorrected at 0.19 eV/atom. Its crystal system is cubic.

No. 12
Crystalline HgBr at its relaxed geometry. Source: Alexandria, functional PBE.

Geometry as POSCAR:
```
HgBr
1.0
12.494 0.000 0.000
0.000 12.494 0.000
0.000 0.000 4.009
Hg Br
8 8
Direct
0.173 0.718 0.000
0.218 0.327 0.500
0.282 0.173 0.000
0.327 0.782 0.500
0.673 0.218 0.500
0.718 0.827 0.000
0.782 0.673 0.500
0.827 0.282 0.000
0.013 0.724 0.500
0.224 0.487 0.000
0.276 0.013 0.500
0.487 0.776 0.000
0.513 0.224 0.000
0.724 0.987 0.500
0.776 0.513 0.000
0.987 0.276 0.500
```

Values from the calculation:
As for the total moment: 0.000 Bohr magnetons per cell. The value obtained for the energy above the most stable polymorph in this dataset is 0.1223 eV per atom. The calculation puts the energy relative to the elements, uncorrected at -0.28 eV/atom. Its crystal system is tetragonal.

No. 13
Crystalline Hg5Br at its relaxed geometry. Source: Alexandria, functional PBE.

Geometry as POSCAR:
```
Hg5Br
1.0
4.050 0.000 0.000
0.000 4.418 0.000
0.000 0.000 20.247
Hg Br
10 2
Direct
0.000 0.000 0.000
0.000 0.000 0.274
0.000 0.000 0.616
0.000 0.500 0.116
0.000 0.500 0.500
0.000 0.500 0.774
0.500 0.000 0.164
0.500 0.000 0.461
0.500 0.500 0.664
0.500 0.500 0.961
0.500 0.000 0.838
0.500 0.500 0.338
```

Values from the calculation:
As for the total moment: 0.000 Bohr magnetons per cell. The value obtained for the energy above the most stable polymorph in this dataset is 0.0516 eV per atom. The calculation puts the energy relative to the elements, uncorrected at -0.06 eV/atom. Its crystal system is orthorhombic.